No. 1
# Dy6Ge2P3S (GGA-PBE, optimized geometry)
# DFT total energy = -6.177 eV/atom
# SG = C2/m (12)
data_Dy6Ge2P3S
_cell_length_a 3.976
_cell_length_b 8.183
_cell_length_c 9.055
_cell_angle_alpha 103.31
_cell_angle_beta 102.68
_cell_angle_gamma 90.00
_symmetry_space_group_name_H-M 'P 1'
_symmetry_Int_Tables_number 1
loop_
_symmetry_equiv_pos_as_xyz
'x,y,z'
loop_
_atom_site_label
_atom_site_type_symbol
_atom_site_fract_x
_atom_site_fract_y
_atom_site_fract_z
Dy1 Dy 0.333 0.924 0.666
Dy2 Dy 0.664 0.592 0.327
Dy3 Dy 0.667 0.076 0.334
Dy4 Dy 0.999 0.254 0.998
Dy5 Dy 0.001 0.746 0.002
Dy6 Dy 0.336 0.408 0.673
Ge1 Ge 0.834 0.667 0.667
Ge2 Ge 0.166 0.333 0.333
P1 P 0.500 0.500 0.000
P2 P 0.835 0.165 0.671
P3 P 0.165 0.835 0.329
S1 S 0.500 0.000 0.000

=====

No. 2
# Dy6Ge2PSe3 (GGA-PBE, optimized geometry)
# DFT total energy = -5.922 eV/atom
# SG = C2/m (12)
data_Dy6Ge2PSe3
_cell_length_a 4.099
_cell_length_b 8.231
_cell_length_c 9.187
_cell_angle_alpha 103.20
_cell_angle_beta 102.89
_cell_angle_gamma 90.00
_symmetry_space_group_name_H-M 'P 1'
_symmetry_Int_Tables_number 1
loop_
_symmetry_equiv_pos_as_xyz
'x,y,z'
loop_
_atom_site_label
_atom_site_type_symbol
_atom_site_fract_x
_atom_site_fract_y
_atom_site_fract_z
Dy1 Dy 0.338 0.910 0.676
Dy2 Dy 0.669 0.576 0.338
Dy3 Dy 0.662 0.090 0.324
Dy4 Dy 0.004 0.239 0.007
Dy5 Dy 0.996 0.761 0.993
Dy6 Dy 0.331 0.424 0.662
Ge1 Ge 0.834 0.668 0.668
Ge2 Ge 0.166 0.332 0.332
P1 P 0.500 0.000 0.000
Se1 Se 0.500 0.500 0.000
Se2 Se 0.834 0.166 0.668
Se3 Se 0.166 0.834 0.332

=====

No. 3
# Dy8GeP3Se4 (GGA-PBE, optimized geometry)
# DFT total energy = -6.166 eV/atom
# SG = R-3m (166)
data_Dy8GeP3Se4
_cell_length_a 8.102
_cell_length_b 8.177
_cell_length_c 8.102
_cell_angle_alpha 119.70
_cell_angle_beta 120.00
_cell_angle_gamma 90.00
_symmetry_space_group_name_H-M 'P 1'
_symmetry_Int_Tables_number 1
loop_
_symmetry_equiv_pos_as_xyz
'x,y,z'
loop_
_atom_site_label
_atom_site_type_symbol
_atom_site_fract_x
_atom_site_fract_y
_atom_site_fract_z
Dy1 Dy 0.245 0.732 0.987
Dy2 Dy 0.245 0.732 0.490
Dy3 Dy 0.257 0.272 0.515
Dy4 Dy 0.742 0.732 0.987
Dy5 Dy 0.258 0.268 0.013
Dy6 Dy 0.743 0.728 0.485
Dy7 Dy 0.755 0.268 0.510
Dy8 Dy 0.755 0.268 0.013
Ge1 Ge 0.000 0.500 0.000
P1 P 0.500 0.500 0.000
P2 P 0.500 0.500 0.500
P3 P 0.000 0.500 0.500
Se1 Se 0.500 0.000 0.000
Se2 Se 0.500 0.000 0.500
Se3 Se 0.000 0.000 0.000
Se4 Se 0.000 0.000 0.500

=====

In order of appearance, total magnetization = 0.0, 0.0, 0.0 μB per cell.
In order of appearance, E_form (uncorrected) = -1.4096, -1.5298, -1.6908 eV per atom.